# Hf6MnAu3, optimized geometry, DFT PBE
data_Hf6MnAu3
_cell_length_a 5.401
_cell_length_b 8.066
_cell_length_c 10.829
_cell_angle_alpha 90.00
_cell_angle_beta 119.77
_cell_angle_gamma 90.00
_symmetry_space_group_name_H-M 'P 1 21/c 1'
_symmetry_Int_Tables_number 14
loop_
_symmetry_equiv_pos_as_xyz
'x,y,z'
'-x,-y,-z'
'-x,y+1/2,-z+1/2'
'x,-y+1/2,z+1/2'
loop_
_atom_site_label
_atom_site_type_symbol
_atom_site_fract_x
_atom_site_fract_y
_atom_site_fract_z
_atom_site_occupancy
Hf1 Hf 0.023 0.190 0.448 1
Hf2 Hf 0.351 0.665 0.450 1
Hf3 Hf 0.373 0.066 0.230 1
Mn1 Mn 0.000 0.000 0.000 1
Au1 Au 0.122 0.110 0.748 1
Au2 Au 0.500 0.000 0.500 1
# DFT formation energy	-1.464	eV per formula unit
# DOS(E_F)	9.82	states/eV/f.u.